Entry 1:
First-principles (meta-GGA SCAN) data for a crystal of Ca3Y relaxed with PBEsol, as listed in the Alexandria database.

a b c (Å): 6.4460 7.5562 12.2697
angles (deg): 90.00 90.00 90.00
With the nearest neighbours (Å) after each atom.
Fractional positions:
Ca: 0.9176 0.1208 0.2500  4 Y 3.65-3.91, 8 Ca 3.71-3.81
Ca: 0.5824 0.6208 0.7500  4 Y 3.65-3.91, 8 Ca 3.71-3.81
Ca: 0.4176 0.3792 0.2500  4 Y 3.65-3.91, 8 Ca 3.71-3.81
Ca: 0.0824 0.8792 0.7500  4 Y 3.65-3.91, 8 Ca 3.71-3.81
Ca: 0.2471 0.6230 0.0034  3 Y 3.69-3.83, 9 Ca 3.69-3.81
Ca: 0.2529 0.1230 0.9966  3 Y 3.69-3.83, 9 Ca 3.69-3.81
Ca: 0.7471 0.8770 0.4966  3 Y 3.69-3.83, 9 Ca 3.69-3.81
Ca: 0.7529 0.3770 0.5034  3 Y 3.69-3.83, 9 Ca 3.69-3.81
Ca: 0.7529 0.3770 0.9966  3 Y 3.69-3.83, 9 Ca 3.69-3.81
Ca: 0.7471 0.8770 0.0034  3 Y 3.69-3.83, 9 Ca 3.69-3.81
Ca: 0.2529 0.1230 0.5034  3 Y 3.69-3.83, 9 Ca 3.69-3.81
Ca: 0.2471 0.6230 0.4966  3 Y 3.69-3.83, 9 Ca 3.69-3.81
Y: 0.9169 0.6381 0.2500  2 Y 3.64, 10 Ca 3.65-3.91
Y: 0.5831 0.1381 0.7500  2 Y 3.64, 10 Ca 3.65-3.91
Y: 0.4169 0.8619 0.2500  2 Y 3.64, 10 Ca 3.65-3.91
Y: 0.0831 0.3619 0.7500  2 Y 3.64, 10 Ca 3.65-3.91

- Density of states at the Fermi level: 4.8 states/eV/f.u.
- ΔE_f: 0.09 eV/atom
- Spin magnetization: 2.648 μB/cell
- Space-group type: Pnma (62)
- ρ: 2.32 g/cm3

***

Entry 2:
First-principles (meta-GGA SCAN) data for a crystal of Cs2NaAl3F12 relaxed with PBEsol, as listed in the Alexandria database.

a b c (Å): 7.0500 7.0500 7.2802
angles (deg): 61.04 61.04 60.00
With the nearest neighbours (Å) after each atom.
Fractional positions:
Cs: 0.6219 0.6219 0.1342  6 F 2.98-3.31
Cs: 0.3781 0.3781 0.8658  6 F 2.98-3.31
Na: 0.0000 0.0000 0.0000  6 F 2.29
Al: 0.0000 0.0000 0.5000  6 F 1.77-1.84
Al: 0.5000 0.0000 0.5000  6 F 1.77-1.84
Al: 0.0000 0.5000 0.5000  6 F 1.77-1.84
F: 0.6161 0.0879 0.2081  1 Al 1.77
F: 0.0879 0.0879 0.2081  1 Al 1.77
F: 0.0879 0.6161 0.2081  1 Al 1.77
F: 0.9121 0.3839 0.7919  1 Al 1.77
F: 0.3839 0.9121 0.7919  1 Al 1.77
F: 0.9121 0.9121 0.7919  1 Al 1.77
F: 0.2970 0.2970 0.4853  2 Al 1.84
F: 0.9206 0.2970 0.4853  2 Al 1.84
F: 0.2970 0.9206 0.4853  2 Al 1.84
F: 0.7030 0.0794 0.5147  2 Al 1.84
F: 0.7030 0.7030 0.5147  2 Al 1.84
F: 0.0794 0.7030 0.5147  2 Al 1.84

- Electronic total energy: -211.04 eV for the cell shown
- Density of states at the Fermi level: 0.0 states/eV/f.u.
- Spin magnetization: 0.000 μB/cell
- Space-group type: R-3m (166)
- ρ: 3.82 g/cm3

***

Entry 3:
First-principles (meta-GGA SCAN) data for a crystal of LiCdPt2 relaxed with PBEsol, as listed in the Alexandria database.

a b c (Å): 3.9228 3.9228 4.8278
angles (deg): 113.97 113.97 90.00
With the nearest neighbours (Å) after each atom.
Fractional positions:
Cd: 0.0000 0.0000 0.0000  4 Li 2.77, 8 Pt 2.78
Pt: 0.7500 0.2500 0.5000  4 Pt 2.77, 4 Li 2.78, 4 Cd 2.78
Pt: 0.2500 0.7500 0.5000  4 Pt 2.77, 4 Li 2.78, 4 Cd 2.78
Li: 0.5000 0.5000 0.0000  4 Cd 2.77, 8 Pt 2.78

- Density of states at the Fermi level: 1.4 states/eV/f.u.
- ΔE_f: -0.50 eV/atom
- Spin magnetization: 0.000 μB/cell
- Space-group type: I4/mmm (139)
- ρ: 13.91 g/cm3

***

Entry 4:
First-principles (meta-GGA SCAN) data for a crystal of NbCdSe3 relaxed with PBEsol, as listed in the Alexandria database.

a b c (Å): 5.0067 5.0067 5.0067
angles (deg): 90.00 90.00 90.00
With the nearest neighbours (Å) after each atom.
Fractional positions:
Nb: 0.0000 0.0000 0.0000  6 Se 2.50
Se: 0.0000 0.5000 0.0000  2 Nb 2.50
Se: 0.0000 0.0000 0.5000  2 Nb 2.50
Se: 0.5000 0.0000 0.0000  2 Nb 2.50
Cd: 0.5000 0.5000 0.5000  12 Se 3.54

- Electronic total energy: -124.72 eV for the cell shown
- Density of states at the Fermi level: 4.0 states/eV/f.u.
- Spin magnetization: 0.000 μB/cell
- Space-group type: Pm-3m (221)
- ρ: 5.85 g/cm3

***

Entry 5:
First-principles (meta-GGA SCAN) data for a crystal of TlCd3 relaxed with PBEsol, as listed in the Alexandria database.

a b c (Å): 3.2433 3.2433 10.0956
angles (deg): 90.00 90.00 120.00
With the nearest neighbours (Å) after each atom.
Fractional positions:
Tl: 0.3333 0.6667 0.5000  6 Tl 3.24, 6 Cd 3.28
Cd: 0.0000 0.0000 0.2338  9 Cd 3.01-3.24, 3 Tl 3.28
Cd: 0.0000 0.0000 0.7662  9 Cd 3.01-3.24, 3 Tl 3.28
Cd: 0.3333 0.6667 0.0000  12 Cd 3.01-3.24

- Density of states at the Fermi level: 1.4 states/eV/f.u.
- ΔE_f: 0.07 eV/atom
- Spin magnetization: 0.000 μB/cell
- Space-group type: P-6m2 (187)
- ρ: 9.78 g/cm3

***

Entry 6:
First-principles (meta-GGA SCAN) data for a crystal of La2ReIr relaxed with PBEsol, as listed in the Alexandria database.

a b c (Å): 3.6572 4.8947 4.8947
angles (deg): 90.00 90.00 90.00
With the nearest neighbours (Å) after each atom.
Fractional positions:
Ir: 0.5000 0.0000 0.0000  8 La 3.06
La: 0.0000 0.0000 0.5000  4 Re 3.06, 4 Ir 3.06
La: 0.0000 0.5000 0.0000  4 Re 3.06, 4 Ir 3.06
Re: 0.5000 0.5000 0.5000  8 La 3.06

- Density of states at the Fermi level: 5.0 states/eV/f.u.
- ΔE_f: 0.10 eV/atom
- Spin magnetization: 0.009 μB/cell
- Space-group type: P4/mmm (123)
- ρ: 12.44 g/cm3

***

Entry 7:
First-principles (meta-GGA SCAN) data for a crystal of SrBSb2 relaxed with PBEsol, as listed in the Alexandria database.

a b c (Å): 6.3682 6.3682 6.3682
angles (deg): 109.17 109.62 109.62
With the nearest neighbours (Å) after each atom.
Fractional positions:
Sb: 0.8972 0.5222 0.1250  2 B 2.32
Sb: 0.1028 0.2278 0.6250  2 B 2.32
Sb: 0.6028 0.3750 0.4778  2 B 2.32
Sb: 0.3972 0.8750 0.7722  2 B 2.32
B: 0.0000 0.5000 0.5000  4 Sb 2.32
B: 0.5000 0.2500 0.7500  4 Sb 2.32
Sr: 0.0000 0.0000 0.0000  8 Sb 3.31-3.49, 2 B 3.69
Sr: 0.5000 0.7500 0.2500  8 Sb 3.31-3.49, 2 B 3.69

- Electronic total energy: -209.36 eV for the cell shown
- Density of states at the Fermi level: 1.7 states/eV/f.u.
- Spin magnetization: 0.000 μB/cell
- Space-group type: I-42d (122)
- ρ: 5.71 g/cm3

***

Entry 8:
First-principles (meta-GGA SCAN) data for a crystal of Pm2GaCu relaxed with PBEsol, as listed in the Alexandria database.

a b c (Å): 5.0412 5.0412 5.0412
angles (deg): 60.00 60.00 60.00
With the nearest neighbours (Å) after each atom.
Fractional positions:
Cu: 0.5000 0.5000 0.5000  8 Pm 3.09
Ga: 0.0000 0.0000 0.0000  8 Pm 3.09
Pm: 0.7500 0.7500 0.7500  4 Cu 3.09, 4 Ga 3.09
Pm: 0.2500 0.2500 0.2500  4 Cu 3.09, 4 Ga 3.09

- Density of states at the Fermi level: 3.6 states/eV/f.u.
- ΔE_f: -0.41 eV/atom
- Spin magnetization: 0.002 μB/cell
- Space-group type: Fm-3m (225)
- ρ: 7.76 g/cm3

***

Entry 9:
First-principles (meta-GGA SCAN) data for a crystal of Ca2IrAu relaxed with PBEsol, as listed in the Alexandria database.

a b c (Å): 3.5144 3.5144 7.8028
angles (deg): 90.00 90.00 90.00
With the nearest neighbours (Å) after each atom.
Fractional positions:
Ca: 0.0000 0.0000 0.9135  1 Ir 2.93, 4 Au 2.94
Ca: 0.5000 0.5000 0.3354  1 Au 2.95, 4 Ir 2.95
Ir: 0.0000 0.0000 0.5382  4 Au 2.83, 5 Ca 2.93-2.95
Au: 0.5000 0.5000 0.7129  4 Ir 2.83, 5 Ca 2.94-2.95

- Density of states at the Fermi level: 1.8 states/eV/f.u.
- ΔE_f: -0.14 eV/atom
- Spin magnetization: 0.000 μB/cell
- Space-group type: P4mm (99)
- ρ: 8.09 g/cm3

***

Entry 10:
First-principles (meta-GGA SCAN) data for a crystal of Ca2TlIr relaxed with PBEsol, as listed in the Alexandria database.

a b c (Å): 3.8429 4.8245 4.8245
angles (deg): 90.00 90.00 90.00
With the nearest neighbours (Å) after each atom.
Fractional positions:
Tl: 0.5000 0.0000 0.0000  8 Ca 3.08, 4 Ir 3.41
Ir: 0.5000 0.5000 0.5000  8 Ca 3.08, 4 Tl 3.41
Ca: 0.0000 0.0000 0.5000  4 Tl 3.08, 4 Ir 3.08, 4 Ca 3.41
Ca: 0.0000 0.5000 0.0000  4 Ir 3.08, 4 Tl 3.08, 4 Ca 3.41

- Density of states at the Fermi level: 2.3 states/eV/f.u.
- ΔE_f: -0.29 eV/atom
- Spin magnetization: 0.000 μB/cell
- Space-group type: P4/mmm (123)
- ρ: 8.85 g/cm3

***

Entry 11:
First-principles (meta-GGA SCAN) data for a crystal of YInCl2 relaxed with PBEsol, as listed in the Alexandria database.

a b c (Å): 4.5295 4.5295 5.4133
angles (deg): 114.73 114.73 90.00
With the nearest neighbours (Å) after each atom.
Fractional positions:
Y: 0.0000 0.0000 0.0000  8 Cl 3.14, 4 In 3.20
Cl: 0.7500 0.2500 0.5000  4 In 3.14, 4 Y 3.14, 4 Cl 3.20
Cl: 0.2500 0.7500 0.5000  4 In 3.14, 4 Y 3.14, 4 Cl 3.20
In: 0.5000 0.5000 0.0000  8 Cl 3.14, 4 Y 3.20

- Electronic total energy: -81.53 eV for the cell shown
- Density of states at the Fermi level: 2.2 states/eV/f.u.
- Spin magnetization: 0.000 μB/cell
- Space-group type: I4/mmm (139)
- ρ: 5.09 g/cm3

***

Entry 12:
First-principles (meta-GGA SCAN) data for a crystal of NaLa2TaTi2O10 relaxed with PBEsol, as listed in the Alexandria database.

a b c (Å): 3.8442 3.8480 15.0474
angles (deg): 82.62 82.66 90.00
With the nearest neighbours (Å) after each atom.
Fractional positions:
Na: 0.2397 0.7413 0.5048  4 O 2.29-2.37
La: 0.4254 0.4247 0.1339  12 O 2.65-2.72
La: 0.5731 0.5736 0.8396  4 O 2.41-2.42
Ta: 0.8470 0.8460 0.2906  5 O 1.79-1.98
Ti: 0.9930 0.9929 0.9987  6 O 1.85-2.03
Ti: 0.1415 0.1424 0.7026  1 O 1.69
O: 0.1983 0.1994 0.5887  1 Ti 1.69
O: 0.7865 0.7858 0.4115  1 Ta 1.79
O: 0.1227 0.6234 0.7403  2 Ti 2.00
O: 0.6220 0.1228 0.7416  2 Ti 2.01
O: 0.8633 0.3622 0.2582  2 Ta 1.98
O: 0.3627 0.8616 0.2593  2 Ta 1.98
O: 0.0555 0.0557 0.8739  1 Ti 1.85
O: 0.9244 0.9238 0.1357  1 Ti 2.03
O: 0.9869 0.4869 0.0103  2 Ti 1.93
O: 0.4869 0.9864 0.0106  2 Ti 1.93

- Electronic total energy: -305.22 eV for the cell shown
- Density of states at the Fermi level: 0.0 states/eV/f.u.
- Spin magnetization: 0.000 μB/cell
- Space-group type: Cm (8)
- ρ: 5.59 g/cm3

***

Entry 13:
First-principles (meta-GGA SCAN) data for a crystal of BaWBr2 relaxed with PBEsol, as listed in the Alexandria database.

a b c (Å): 3.9526 3.9526 7.5690
angles (deg): 90.00 90.00 90.00
With the nearest neighbours (Å) after each atom.
Fractional positions:
Br: 0.0000 0.0000 0.7363  4 Ba 3.32, 4 W 3.43, 1 Br 3.58
Br: 0.0000 0.0000 0.2637  4 Ba 3.32, 4 W 3.43, 1 Br 3.58
Ba: 0.5000 0.5000 0.5000  8 Br 3.32
W: 0.5000 0.5000 0.0000  8 Br 3.43, 2 Ba 3.78

- Electronic total energy: -146.93 eV for the cell shown
- Density of states at the Fermi level: 1.6 states/eV/f.u.
- Spin magnetization: 5.784 μB/cell
- Space-group type: P4/mmm (123)
- ρ: 6.75 g/cm3

***

Entry 14:
First-principles (meta-GGA SCAN) data for a crystal of KPtCl2 relaxed with PBEsol, as listed in the Alexandria database.

a b c (Å): 3.2260 4.8710 4.8802
angles (deg): 90.00 90.00 90.00
With the nearest neighbours (Å) after each atom.
Fractional positions:
K: 0.5000 0.5000 0.0000  8 Cl 2.92-2.93, 2 K 3.23
Pt: 0.5000 0.0000 0.5000  8 Cl 2.92-2.93, 2 Pt 3.23
Cl: 0.0000 0.0000 0.0000  4 K 2.92, 4 Pt 2.93, 2 Cl 3.23
Cl: 0.0000 0.5000 0.5000  4 Pt 2.92, 4 K 2.93, 2 Cl 3.23

- Electronic total energy: -96.10 eV for the cell shown
- Density of states at the Fermi level: 1.7 states/eV/f.u.
- Spin magnetization: 0.985 μB/cell
- Space-group type: P4/mmm (123)
- ρ: 6.61 g/cm3

***

Entry 15:
First-principles (meta-GGA SCAN) data for a crystal of KTcSb2 relaxed with PBEsol, as listed in the Alexandria database.

a b c (Å): 3.2500 3.2500 8.6761
angles (deg): 90.00 90.00 90.00
With the nearest neighbours (Å) after each atom.
Fractional positions:
Sb: 0.0000 0.0000 0.3133  4 Tc 2.81
Sb: 0.0000 0.0000 0.6867  4 Tc 2.81
K: 0.5000 0.5000 0.0000  4 K 3.25, 8 Sb 3.56
Tc: 0.5000 0.5000 0.5000  8 Sb 2.81

- Electronic total energy: -118.71 eV for the cell shown
- Density of states at the Fermi level: 0.6 states/eV/f.u.
- Spin magnetization: 0.000 μB/cell
- Space-group type: P4/mmm (123)
- ρ: 6.90 g/cm3

***

Entry 16:
First-principles (meta-GGA SCAN) data for a crystal of Ba2SrAu relaxed with PBEsol, as listed in the Alexandria database.

a b c (Å): 4.5546 4.5546 11.2668
angles (deg): 78.34 78.34 60.00
With the nearest neighbours (Å) after each atom.
Fractional positions:
Sr: 0.5000 0.5000 0.5000  6 Ba 4.51, 6 Sr 4.55
Au: 0.0000 0.0000 0.0000  6 Ba 3.20
Ba: 0.2780 0.2780 0.1661  3 Au 3.20
Ba: 0.7220 0.7220 0.8339  3 Au 3.20

- Density of states at the Fermi level: 3.7 states/eV/f.u.
- ΔE_f: -0.44 eV/atom
- Spin magnetization: 0.321 μB/cell
- Space-group type: R-3m (166)
- ρ: 4.72 g/cm3

***

Entry 17:
First-principles (meta-GGA SCAN) data for a crystal of FeCoMo2 relaxed with PBEsol, as listed in the Alexandria database.

a b c (Å): 2.6246 3.6315 5.2574
angles (deg): 90.00 90.00 90.00
With the nearest neighbours (Å) after each atom.
Fractional positions:
Co: 0.5000 0.5000 0.0000  8 Mo 2.60, 2 Co 2.62, 2 Fe 2.63
Fe: 0.5000 0.5000 0.5000  8 Mo 2.59, 2 Fe 2.62, 2 Co 2.63
Mo: 0.0000 0.0000 0.7479  4 Fe 2.59, 4 Co 2.60, 4 Mo 2.61-2.65
Mo: 0.0000 0.0000 0.2521  4 Fe 2.59, 4 Co 2.60, 4 Mo 2.61-2.65

- Density of states at the Fermi level: 2.7 states/eV/f.u.
- ΔE_f: 0.24 eV/atom
- Spin magnetization: 0.779 μB/cell
- Space-group type: Pmmm (47)
- ρ: 10.16 g/cm3

***

Entry 18:
First-principles (meta-GGA SCAN) data for a crystal of KSr2 relaxed with PBEsol, as listed in the Alexandria database.

a b c (Å): 4.0636 7.0265 7.0265
angles (deg): 120.00 90.00 90.00
With the nearest neighbours (Å) after each atom.
Fractional positions:
K: 0.0000 0.0000 0.0000  2 K 4.06, 12 Sr 4.54
Sr: 0.5000 0.6667 0.3333  5 Sr 4.06, 6 K 4.54
Sr: 0.5000 0.3333 0.6667  5 Sr 4.06, 6 K 4.54

- Density of states at the Fermi level: 3.2 states/eV/f.u.
- ΔE_f: 0.18 eV/atom
- Spin magnetization: 0.218 μB/cell
- Space-group type: P6/mmm (191)
- ρ: 2.05 g/cm3

***

Entry 19:
First-principles (meta-GGA SCAN) data for a crystal of TaAlAu2 relaxed with PBEsol, as listed in the Alexandria database.

a b c (Å): 2.9370 2.9370 7.5875
angles (deg): 90.00 90.00 90.00
With the nearest neighbours (Å) after each atom.
Fractional positions:
Au: 0.0000 0.0000 0.9768  4 Al 2.66, 8 Au 2.94-2.97
Au: 0.5000 0.5000 0.2562  4 Ta 2.83, 8 Au 2.94-2.97
Al: 0.5000 0.5000 0.7573  4 Au 2.66, 4 Ta 2.80, 4 Al 2.94
Ta: 0.0000 0.0000 0.5097  4 Al 2.80, 4 Au 2.83, 4 Ta 2.94

- Density of states at the Fermi level: 1.4 states/eV/f.u.
- ΔE_f: -0.35 eV/atom
- Spin magnetization: 0.000 μB/cell
- Space-group type: P4mm (99)
- ρ: 15.27 g/cm3

***

Entry 20:
First-principles (meta-GGA SCAN) data for a crystal of PrCl3 relaxed with PBEsol, as listed in the Alexandria database.

a b c (Å): 4.2465 7.3860 7.3860
angles (deg): 120.00 90.00 90.00
With the nearest neighbours (Å) after each atom.
Fractional positions:
Pr: 0.7500 0.6667 0.3333  9 Cl 2.89-2.91
Pr: 0.2500 0.3333 0.6667  9 Cl 2.89-2.91
Cl: 0.7500 0.3020 0.3876  3 Pr 2.89-2.91
Cl: 0.2500 0.3876 0.0855  3 Pr 2.89-2.91
Cl: 0.2500 0.6980 0.6124  3 Pr 2.89-2.91
Cl: 0.7500 0.6124 0.9145  3 Pr 2.89-2.91
Cl: 0.7500 0.0855 0.6980  3 Pr 2.89-2.91
Cl: 0.2500 0.9145 0.3020  3 Pr 2.89-2.91

- Electronic total energy: -155.40 eV for the cell shown
- Density of states at the Fermi level: 0.0 states/eV/f.u.
- Spin magnetization: 0.000 μB/cell
- Space-group type: P6_3/m (176)
- ρ: 4.09 g/cm3